No. 1
VASP calculation (GGA-PBE) on crystalline Sm2TiNi3Ge4 at its relaxed geometry.

Results
* E_tot: -6.01 eV per atom
* theoretical density: 7.77 g/cm³

The structure in POSCAR format:
```
Sm2TiNi3Ge4
1.0
-1.7840 0.4871 -3.6548
3.5355 -0.9264 -1.8493
-2.6514 -10.0332 -0.0429
Ti Ni Ge Sm
1 3 4 2
Direct
0.5000 0.5000 0.5000
0.0000 0.0000 0.5000
0.5000 0.0000 0.8797
0.0000 0.5000 0.1203
0.0000 0.0000 0.0000
0.0000 0.5000 0.3521
0.5000 0.5000 0.0000
0.5000 0.0000 0.6479
0.0000 0.5000 0.7643
0.5000 0.0000 0.2357
```

---

No. 2
VASP calculation (GGA-PBE) on crystalline SmTmNi2Ge2 at its relaxed geometry.

Results
* E_tot: -5.76 eV per atom
* theoretical density: 8.72 g/cm³

The structure in POSCAR format:
```
SmTmNi2Ge2
1.0
4.2371 0.0000 0.0000
-2.1185 3.6694 0.0000
0.0000 0.0000 7.1310
Ge Ni Sm Tm
2 2 1 1
Direct
0.3333 0.6667 0.2699
0.6667 0.3333 0.7301
0.6667 0.3333 0.2871
0.3333 0.6667 0.7129
0.0000 0.0000 0.0000
0.0000 0.0000 0.5000
```

---

No. 3
VASP calculation (GGA-PBE) on crystalline SmYNi2Ge2 at its relaxed geometry.

Results
* E_tot: -6.07 eV per atom
* theoretical density: 7.31 g/cm³

The structure in POSCAR format:
```
SmYNi2Ge2
1.0
4.2149 0.0000 0.0000
-2.1075 3.6502 0.0000
0.0000 0.0000 7.4111
Ge Sm Ni Y
2 1 2 1
Direct
0.6667 0.3333 0.7412
0.3333 0.6667 0.2588
0.0000 0.0000 0.0000
0.3333 0.6667 0.7339
0.6667 0.3333 0.2661
0.0000 0.0000 0.5000
```

---

No. 4
VASP calculation (GGA-PBE) on crystalline Sm2ZnNi3Ge4 at its relaxed geometry.

Results
* E_tot: -5.31 eV per atom
* theoretical density: 8.10 g/cm³

The structure in POSCAR format:
```
Sm2ZnNi3Ge4
1.0
-0.9694 -2.9895 2.7096
-1.4833 -2.3275 -3.0986
8.9634 -4.0430 -1.2539
Ge Sm Zn Ni
4 2 1 3
Direct
0.5000 0.5000 0.0000
0.0000 0.5000 0.3573
0.5000 0.0000 0.6427
0.0000 0.0000 0.0000
0.0000 0.5000 0.7556
0.5000 0.0000 0.2444
0.5000 0.5000 0.5000
0.5000 0.0000 0.8808
0.0000 0.0000 0.5000
0.0000 0.5000 0.1192
```

---

No. 5
VASP calculation (GGA-PBE) on crystalline SmZnNiGe2 at its relaxed geometry.

Results
* E_tot: -4.78 eV per atom
* theoretical density: 7.91 g/cm³

The structure in POSCAR format:
```
SmZnNiGe2
1.0
4.1011 0.0000 0.0000
0.0000 4.1011 0.0000
-2.0506 -2.0506 5.2393
Ni Ge Sm Zn
1 2 1 1
Direct
0.2500 0.7500 0.5000
0.6205 0.6205 0.2409
0.3795 0.3795 0.7591
0.0000 0.0000 0.0000
0.7500 0.2500 0.5000
```

---

No. 6
VASP calculation (GGA-PBE) on crystalline SmZnNi5Ge2 at its relaxed geometry.

Results
* E_tot: -4.98 eV per atom
* theoretical density: 7.95 g/cm³

The structure in POSCAR format:
```
SmZnNi5Ge2
1.0
4.0358 0.0000 0.0000
0.0000 4.0358 0.0000
0.0000 0.0000 8.3970
Ni Zn Ge Sm
5 1 2 1
Direct
0.0000 0.5000 0.7273
0.5000 0.0000 0.2727
0.5000 0.5000 0.5000
0.5000 0.0000 0.7273
0.0000 0.5000 0.2727
0.0000 0.0000 0.0000
0.5000 0.5000 0.8576
0.5000 0.5000 0.1424
0.0000 0.0000 0.5000
```

---

No. 7
VASP calculation (GGA-PBE) on crystalline Sm2ZnNi4Ge3 at its relaxed geometry.

Results
* E_tot: -5.41 eV per atom
* theoretical density: 8.22 g/cm³

The structure in POSCAR format:
```
Sm2ZnNi4Ge3
1.0
4.1196 0.0000 0.0000
0.0000 4.1196 0.0000
0.0000 0.0000 9.7518
Ge Ni Sm Zn
3 4 2 1
Direct
0.5000 0.0000 0.8720
0.0000 0.5000 0.1280
0.0000 0.0000 0.5000
0.0000 0.0000 0.0000
0.0000 0.5000 0.3693
0.5000 0.5000 0.0000
0.5000 0.0000 0.6307
0.5000 0.0000 0.2488
0.0000 0.5000 0.7512
0.5000 0.5000 0.5000
```

---

No. 8
VASP calculation (GGA-PBE) on crystalline NiSnGe3 at its relaxed geometry.

Results
* E_tot: -3.30 eV per atom
* theoretical density: 4.62 g/cm³
* relative energy among the computed polymorphs: 1233 meV/atom

The structure in POSCAR format:
```
NiSnGe3
1.0
-3.7864 2.9331 -2.0727
-2.3681 -4.3032 -1.7636
-2.7003 -0.3390 4.4530
Ni Ge Sn
1 3 1
Direct
0.5000 0.5000 0.5000
0.0000 0.5000 0.0000
0.5000 0.0000 0.0000
0.0000 0.0000 0.5000
0.0000 0.0000 0.0000
```

---

No. 9
VASP calculation (GGA-PBE) on crystalline Ni3SnGe at its relaxed geometry.

Results
* E_tot: -5.33 eV per atom
* theoretical density: 8.57 g/cm³
* relative energy among the computed polymorphs: 0 meV/atom

The structure in POSCAR format:
```
Ni3SnGe
1.0
5.3645 0.0000 0.0000
0.0000 5.9674 1.2564
0.0000 0.0071 8.8988
Ni Ge Sn
12 4 4
Direct
0.0460 0.6977 0.9291
0.5460 0.3023 0.5709
0.6105 0.0045 0.1974
0.4540 0.6977 0.4291
0.8895 0.0045 0.6974
0.9540 0.3023 0.0709
0.9364 0.6848 0.5304
0.1105 0.9955 0.3026
0.0636 0.3152 0.4696
0.5636 0.6848 0.0304
0.4364 0.3152 0.9696
0.3895 0.9955 0.8026
0.7616 0.0499 0.9376
0.2616 0.9501 0.5624
0.2384 0.9501 0.0624
0.7384 0.0499 0.4376
0.3758 0.3731 0.2484
0.8758 0.6269 0.2516
0.1242 0.3731 0.7484
0.6242 0.6269 0.7516
```

---

No. 10
VASP calculation (GGA-PBE) on crystalline Ni3Sn5Ge at its relaxed geometry.

Results
* E_tot: -4.76 eV per atom
* theoretical density: 7.16 g/cm³

The structure in POSCAR format:
```
Ni3Sn5Ge
1.0
7.0354 -0.1418 0.3133
1.7896 6.8055 0.3133
2.9940 2.2608 8.3333
Ge Ni Sn
2 6 10
Direct
0.9153 0.9153 0.3011
0.0847 0.0847 0.6989
0.3373 0.3373 0.1704
0.6627 0.6627 0.8296
0.0000 0.0000 0.0000
0.3083 0.3083 0.6754
0.0000 0.0000 0.5000
0.6917 0.6917 0.3246
0.0385 0.6149 0.6563
0.6149 0.0385 0.6563
0.7657 0.7657 0.0183
0.2879 0.7121 0.0000
0.2343 0.2343 0.9817
0.7121 0.2879 0.0000
0.5557 0.5557 0.6414
0.9615 0.3851 0.3437
0.3851 0.9615 0.3437
0.4443 0.4443 0.3586
```

---

No. 11
VASP calculation (GGA-PBE) on crystalline Ni3SnGe at its relaxed geometry.

Results
* E_tot: -4.23 eV per atom
* theoretical density: 6.01 g/cm³
* relative energy among the computed polymorphs: 1098 meV/atom

The structure in POSCAR format:
```
Ni3SnGe
1.0
-0.5825 -4.6272 0.0280
2.8301 -0.3339 3.6919
-3.6609 0.4781 2.8496
Ni Ge Sn
3 1 1
Direct
0.0000 0.0000 0.5000
0.0000 0.5000 0.0000
0.5000 0.0000 0.0000
0.5000 0.5000 0.5000
0.0000 0.0000 0.0000
```

---

No. 12
VASP calculation (GGA-PBE) on crystalline NiSn2Ge at its relaxed geometry.

Results
* E_tot: -4.39 eV per atom
* theoretical density: 6.27 g/cm³

The structure in POSCAR format:
```
NiSn2Ge
1.0
5.0323 0.0000 0.0000
0.0000 5.0323 0.0000
2.5161 2.5161 7.7088
Sn Ge Ni
4 2 2
Direct
0.1817 0.6250 0.2500
0.8750 0.8183 0.7500
0.5683 0.1250 0.2500
0.3750 0.4317 0.7500
0.0000 0.0000 0.0000
0.7500 0.2500 0.5000
0.5000 0.5000 0.0000
0.2500 0.7500 0.5000
```

---

No. 13
VASP calculation (GGA-PBE) on crystalline Ni4Sn3Ge at its relaxed geometry.

Results
* E_tot: -5.05 eV per atom
* theoretical density: 8.53 g/cm³

The structure in POSCAR format:
```
Ni4Sn3Ge
1.0
4.9596 0.0000 0.0000
0.0000 5.2531 0.0000
0.0000 0.0000 9.9192
Sn Ni Ge
6 8 2
Direct
0.0649 0.6766 0.2453
0.0649 0.6766 0.7547
0.0642 0.3151 0.5000
0.5649 0.3234 0.2547
0.5642 0.6849 0.0000
0.5649 0.3234 0.7453
0.5651 0.8373 0.2658
0.5642 0.1337 0.5000
0.0651 0.1627 0.7658
0.0633 0.8268 0.5000
0.5633 0.1732 0.0000
0.5651 0.8373 0.7342
0.0651 0.1627 0.2342
0.0642 0.8663 0.0000
0.5637 0.6773 0.5000
0.0637 0.3227 0.0000
```

---

No. 14
VASP calculation (GGA-PBE) on crystalline NiSnGe2 at its relaxed geometry.

Results
* E_tot: -4.72 eV per atom
* theoretical density: 6.71 g/cm³

The structure in POSCAR format:
```
NiSnGe2
1.0
-1.1997 -1.2884 2.7683
1.5057 -2.5516 1.4089
4.9233 4.1020 5.9868
Ge Sn Ni
2 1 1
Direct
0.1086 0.1086 0.6742
0.8914 0.8914 0.3258
0.0000 0.0000 0.0000
0.5000 0.5000 0.5000
```

---

No. 15
VASP calculation (GGA-PBE) on crystalline Ni2SnGe at its relaxed geometry.

Results
* E_tot: -5.28 eV per atom
* theoretical density: 8.05 g/cm³
* relative energy among the computed polymorphs: 21 meV/atom

The structure in POSCAR format:
```
Ni2SnGe
1.0
3.7383 0.6481 0.3739
0.8875 6.2584 -0.2144
0.8890 2.9391 5.5294
Ni Ge Sn
4 2 2
Direct
0.3860 0.6925 0.9738
0.8859 0.1925 0.4738
0.6494 0.4299 0.7111
0.1494 0.9299 0.2111
0.2677 0.4789 0.4248
0.7677 0.9789 0.9248
0.0176 0.3936 0.0101
0.5176 0.8936 0.5101
```

---

No. 16
VASP calculation (GGA-PBE) on crystalline Ni2Sn2Ge at its relaxed geometry.

Results
* E_tot: -4.79 eV per atom
* theoretical density: 8.13 g/cm³
* relative energy among the computed polymorphs: 0 meV/atom

The structure in POSCAR format:
```
Ni2Sn2Ge
1.0
-0.7068 -0.6315 -7.2734
1.9762 -7.0511 0.4202
-3.1107 -0.8494 0.3760
Ge Ni Sn
2 4 4
Direct
0.0000 0.0000 0.0000
0.5000 0.5000 0.0000
0.1266 0.3734 0.0000
0.6266 0.1266 0.0000
0.8734 0.6266 0.0000
0.3734 0.8734 0.0000
0.6682 0.8318 0.5000
0.8318 0.3318 0.5000
0.1682 0.6682 0.5000
0.3318 0.1682 0.5000
```

---

No. 17
VASP calculation (GGA-PBE) on crystalline Ni2Sn2Ge at its relaxed geometry.

Results
* E_tot: -4.70 eV per atom
* theoretical density: 7.93 g/cm³
* relative energy among the computed polymorphs: 100 meV/atom

The structure in POSCAR format:
```
Ni2Sn2Ge
1.0
-1.5564 6.0261 -4.6922
-7.3544 -2.4741 -0.7379
-0.7792 1.6189 2.3376
Ni Sn Ge
4 4 2
Direct
0.1252 0.6252 0.5000
0.8748 0.3748 0.5000
0.3748 0.1252 0.5000
0.6252 0.8748 0.5000
0.1639 0.3361 0.0000
0.6639 0.1639 0.0000
0.8361 0.6639 0.0000
0.3361 0.8361 0.0000
0.5000 0.5000 0.0000
0.0000 0.0000 0.0000
```

---

No. 18
VASP calculation (GGA-PBE) on crystalline NiSnGe at its relaxed geometry.

Results
* E_tot: -4.94 eV per atom
* theoretical density: 7.52 g/cm³

The structure in POSCAR format:
```
NiSnGe
1.0
4.2736 0.0000 0.0000
2.1368 3.7010 0.0000
2.1368 1.2337 3.4893
Sn Ni Ge
1 1 1
Direct
0.5000 0.5000 0.5000
0.2500 0.2500 0.2500
0.0000 0.0000 0.0000
```

---

No. 19
VASP calculation (GGA-PBE) on crystalline Ni15Sn4Ge at its relaxed geometry.

Results
* E_tot: -5.57 eV per atom
* theoretical density: 9.34 g/cm³

The structure in POSCAR format:
```
Ni15Sn4Ge
1.0
3.7086 0.0000 0.0000
0.0000 3.7086 0.0000
0.0000 0.0000 18.4501
Sn Ni Ge
4 15 1
Direct
0.0000 0.0000 0.1949
0.0000 0.0000 0.6017
0.0000 0.0000 0.8051
0.0000 0.0000 0.3983
0.0000 0.5000 0.7036
0.5000 0.0000 0.2964
0.5000 0.0000 0.7036
0.0000 0.5000 0.2964
0.5000 0.5000 0.6018
0.0000 0.5000 0.5000
0.5000 0.5000 0.3982
0.5000 0.5000 0.8057
0.5000 0.0000 0.0919
0.5000 0.5000 0.1943
0.0000 0.5000 0.0919
0.5000 0.0000 0.9081
0.5000 0.0000 0.5000
0.5000 0.5000 0.0000
0.0000 0.5000 0.9081
0.0000 0.0000 0.0000
```

---

No. 20
VASP calculation (GGA-PBE) on crystalline Ni6SnGe at its relaxed geometry.

Results
* E_tot: -5.64 eV per atom
* theoretical density: 9.23 g/cm³
* relative energy among the computed polymorphs: 0 meV/atom

The structure in POSCAR format:
```
Ni6SnGe
1.0
-3.2328 1.5629 -0.7334
-1.3654 -1.3619 3.1164
2.0982 6.0021 3.5423
Ni Sn Ge
6 1 1
Direct
0.5000 0.5000 0.5000
0.0000 0.5000 0.2633
0.0000 0.5000 0.7367
0.5000 0.0000 0.2633
0.5000 0.0000 0.7367
0.5000 0.5000 0.0000
0.0000 0.0000 0.0000
0.0000 0.0000 0.5000
```

---

| no. | spin magnetization (μB/atom) |
| --- | --- |
| 1 | 0.000 |
| 2 | 0.000 |
| 3 | 0.000 |
| 4 | 0.000 |
| 5 | 0.000 |
| 6 | 0.000 |
| 7 | 0.000 |
| 8 | 0.000 |
| 9 | 0.000 |
| 10 | 0.000 |
| 11 | 0.000 |
| 12 | 0.000 |
| 13 | 0.000 |
| 14 | 0.000 |
| 15 | 0.000 |
| 16 | 0.000 |
| 17 | 0.000 |
| 18 | 0.000 |
| 19 | 0.000 |
| 20 | 0.000 |